Computed, not measured: Be2HgAs after structural relaxation at the PBE-GGA level of DFT.

The energy of formation is 2.5 eV per formula unit. For the total moment, the calculation gives 0.000 μB/atom.

The space group is I4/mmm (No. 139) and the conventional cell measures 4.1401, 4.1401 and 7.1716 Å, with angles of 90.00, 90.00 and 90.00 degrees. The inequivalent atoms are Be at (0.0000, 0.5000, 0.2500), Hg at (0.0000, 0.0000, 0.0000) and As at (0.0000, 0.0000, 0.5000).

Computed, not measured: ErAlGa3 after structural relaxation at the PBE-GGA level of DFT.

The energy of formation is -0.2 eV per formula unit. For the total moment, the calculation gives 0.000 μB/atom. The calculation puts the distance to the lowest polymorph of the same formula at 177 meV/atom.

The space group is Pmma (No. 51) and the conventional cell measures 9.3090, 2.9912 and 7.9549 Å, with angles of 90.00, 90.00 and 90.00 degrees. The inequivalent atoms are Er at (0.2500, 0.0000, 0.1971), Al at (0.2500, 0.5000, 0.8314), Ga at (0.0000, 0.5000, 0.0000) and Ga at (0.0155, 0.5000, 0.6553).